PBE-GGA BaAl2Se, optimized geometry; formation energy (no corrections) = -504 meV per atom; density = 4.08 Mg/m³
1.0
4.3103 0.0000 0.0000
0.0000 4.0030 0.0000
-0.5070 0.0000 6.3797
Ba Al Se
1 2 1
direct
0.0000 0.0000 0.0000 Ba
0.4106 0.0000 0.5569 Al
0.9123 0.5000 0.5677 Al
0.5320 0.5000 0.2414 Se

=====

PBE-GGA Ba2AlSe, optimized geometry; formation energy (no corrections) = -803 meV per atom; density = 4.41 Mg/m³
1.0
12.3668 0.0000 0.0000
0.0000 4.3196 0.0000
-0.9997 0.0000 5.3636
Ba Al Se
4 2 2
direct
0.0000 0.0000 0.0000 Ba
0.2367 0.5000 0.5602 Ba
0.5000 0.5000 0.0000 Ba
0.7367 0.0000 0.5602 Ba
0.4532 0.0000 0.4653 Al
0.9532 0.5000 0.4653 Al
0.2807 0.0000 0.1020 Se
0.7807 0.5000 0.1020 Se

=====

PBE-GGA BaAl2Se, optimized geometry; formation energy (no corrections) = -418 meV per atom; density = 3.71 Mg/m³
1.0
4.6595 0.0000 0.0000
0.0000 5.2377 0.0000
-0.4814 0.0000 4.9520
Ba Al Se
1 2 1
direct
0.0000 0.0000 0.0000 Ba
0.2691 0.5000 0.6150 Al
0.7309 0.5000 0.3850 Al
0.5000 0.0000 0.5000 Se

=====

PBE-GGA Ba2AlSe, optimized geometry; formation energy (no corrections) = -757 meV per atom; density = 4.66 Mg/m³
1.0
7.6262 0.0000 0.0000
0.0000 8.8226 0.0000
0.0000 0.0000 4.0295
Ba Al Se
4 2 2
direct
0.2500 0.2500 0.0000 Ba
0.2500 0.7500 0.0000 Ba
0.7500 0.2500 0.0000 Ba
0.7500 0.7500 0.0000 Ba
0.0000 0.0000 0.5000 Al
0.5000 0.5000 0.5000 Al
0.0000 0.5000 0.5000 Se
0.5000 0.0000 0.5000 Se

=====

PBE-GGA BaAl4Se, optimized geometry; formation energy (no corrections) = 20 meV per atom; density = 3.80 Mg/m³
1.0
0.0000 4.1388 4.1388
4.1388 0.0000 4.1388
4.1388 4.1388 0.0000
Ba Al Se
1 4 1
direct
0.0000 0.0000 0.0000 Ba
0.3747 0.3747 0.3747 Al
0.3747 0.3747 0.8760 Al
0.3747 0.8760 0.3747 Al
0.8760 0.3747 0.3747 Al
0.7500 0.7500 0.7500 Se

=====

PBE-GGA BaAlSe2, optimized geometry; formation energy (no corrections) = -1041 meV per atom; density = 4.30 Mg/m³
1.0
4.2338 0.0000 0.0000
0.0000 4.2338 0.0000
0.0000 0.0000 6.9413
Ba Al Se
1 1 2
direct
0.0000 0.0000 0.0000 Ba
0.5000 0.5000 0.4937 Al
0.0000 0.0000 0.5360 Se
0.5000 0.5000 0.1402 Se

=====

PBE-GGA BaAl2Se, optimized geometry; formation energy (no corrections) = -338 meV per atom; density = 3.72 Mg/m³
1.0
6.2429 0.0000 0.0000
0.0000 6.2587 0.0000
0.0000 0.0000 12.3533
Ba Al Se
4 8 4
direct
0.0000 0.0000 0.0000 Ba
0.0000 0.5000 0.5000 Ba
0.5000 0.0000 0.5000 Ba
0.5000 0.5000 0.0000 Ba
0.2500 0.0000 0.2500 Al
0.2500 0.0000 0.7500 Al
0.2500 0.5000 0.2500 Al
0.2500 0.5000 0.7500 Al
0.7500 0.0000 0.2500 Al
0.7500 0.0000 0.7500 Al
0.7500 0.5000 0.2500 Al
0.7500 0.5000 0.7500 Al
0.0000 0.0000 0.5000 Se
0.0000 0.5000 0.0000 Se
0.5000 0.0000 0.0000 Se
0.5000 0.5000 0.5000 Se

=====

PBE-GGA Ba2AlSe, optimized geometry; formation energy (no corrections) = -596 meV per atom; density = 4.42 Mg/m³
1.0
4.7697 0.0000 0.0000
0.0000 4.7697 0.0000
0.0000 0.0000 12.5813
Ba Al Se
4 2 2
direct
0.0000 0.0000 0.0000 Ba
0.0000 0.5000 0.2500 Ba
0.5000 0.0000 0.7500 Ba
0.5000 0.5000 0.5000 Ba
0.0000 0.0000 0.5000 Al
0.5000 0.5000 0.0000 Al
0.0000 0.5000 0.7500 Se
0.5000 0.0000 0.2500 Se